First-principles (GGA-PBE) data for a relaxed Cd2PtPb crystal, as listed in Alexandria.

Cell: 3.173 5.299 10.732 Å, 90.00 90.00 90.00°
Space group Immm (No. 71)
Inequivalent atoms, fractional coordinates:
1 Cd 0.000 0.000 0.217 x4
2 Pt 0.000 0.500 0.500 x2
3 Pb 0.000 0.500 0.000 x2

Summary:
Formation energy from the elements in eV per atom: -0.05
Calculated total energy in eV/atom: -2.95

=====

First-principles (GGA-PBE) data for a relaxed MnHIrRh2 crystal, as listed in Alexandria.

Cell: 3.845 3.845 3.933 Å, 90.00 90.00 90.00°
Space group P4/mmm (No. 123)
Inequivalent atoms, fractional coordinates:
1 Mn 0.000 0.000 0.000 x1
2 H 0.000 0.000 0.500 x1
3 Ir 0.500 0.500 0.000 x1
4 Rh 0.000 0.500 0.500 x2

Summary:
Relative energy among the computed polymorphs in meV/atom: 0.0
Calculated total energy in eV/atom: -7.29

=====

First-principles (GGA-PBE) data for a relaxed Sr2Pt2N crystal, as listed in Alexandria.

Cell: 5.943 5.943 6.643 Å, 90.00 90.00 90.00°
Space group I4/mmm (No. 139)
Inequivalent atoms, fractional coordinates:
1 Sr 0.000 0.500 0.250 x4
2 Pt 0.000 0.000 0.198 x4
3 N 0.000 0.000 0.500 x2

Summary:
Formation energy from raw total energies in meV per atom: -204
Relative energy among the computed polymorphs in meV/atom: 0.0
Calculated total energy in eV/atom: -4.96